This record from Alexandria via LeMat-Bulk describes Fe3Re at its PBEsol-relaxed geometry. The functional is meta-GGA SCAN. Values from VASP.

Output
Total magnetization in μB per atom: 0.75
Formation energy from the elements in eV/atom: 0.2804

The structure in Quantum ESPRESSO input format:
```
&SYSTEM
  ibrav = 0, nat = 4, ntyp = 2
/
ATOMIC_SPECIES
Fe 55.84 Fe.upf
Re 186.21 Re.upf
CELL_PARAMETERS angstrom
3.534 0.000 0.000
0.000 3.534 0.000
0.000 0.000 3.534
ATOMIC_POSITIONS crystal
Fe 0.000 0.000 0.500
Fe 0.000 0.500 0.000
Fe 0.500 0.000 0.000
Re 0.500 0.500 0.500
```